Record 1
Density functional theory data (meta-GGA SCAN) for a crystal of La3GaCo relaxed with PBEsol.

a b c (Å): 5.5961 5.5961 5.5961
angles (deg): 90.00 90.00 90.00
Last column: nearest neighbours and their distance in Å.
Atoms (fractional coordinates):
1 La 0.0000 0.5000 0.0000  2 Ga 2.80
2 La 0.5000 0.0000 0.0000  2 Ga 2.80
3 La 0.0000 0.0000 0.5000  2 Ga 2.80
4 Ga 0.0000 0.0000 0.0000  6 La 2.80
5 Co 0.5000 0.5000 0.5000  12 La 3.96

Calculated values
The volume is 175.3 Å³ per cell. The crystal system is cubic. The value obtained for the spin magnetization is 0.3 μB per formula unit. For the uncorrected energy, the calculation gives -160.79 eV/cell. The density of states at the Fermi level is 5.89 states/eV per cell. The energy relative to the elements comes out at 434 meV/atom. Its space-group type is Pm-3m (221).



Record 2
Density functional theory data (meta-GGA SCAN) for a crystal of La3GaCoS7 relaxed with PBEsol.

a b c (Å): 6.0857 9.8818 9.8818
angles (deg): 120.00 90.00 90.00
Last column: nearest neighbours and their distance in Å.
Atoms (fractional coordinates):
1 S 0.5148 0.9119 0.4771  1 Ga 2.27
2 S 0.5148 0.5229 0.4349  1 Ga 2.27
3 S 0.7163 0.7874 0.9097  2 Co 2.38
4 S 0.7163 0.0903 0.8778  2 Co 2.38
5 S 0.2163 0.9097 0.1222  2 Co 2.38
6 S 0.0148 0.0881 0.5229  1 Ga 2.27
7 S 0.0092 0.6667 0.3333  1 Ga 2.23
8 S 0.0148 0.4771 0.5651  1 Ga 2.27
9 S 0.0148 0.4349 0.9119  1 Ga 2.27
10 S 0.7163 0.1222 0.2126  2 Co 2.38
11 S 0.5092 0.3333 0.6667  1 Ga 2.23
12 S 0.2163 0.8778 0.7874  2 Co 2.38
13 S 0.5148 0.5651 0.0881  1 Ga 2.27
14 S 0.2163 0.2126 0.0903  2 Co 2.38
15 La 0.7962 0.8430 0.2159  7 S 2.82-3.08
16 La 0.2962 0.1570 0.7841  7 S 2.82-3.08
17 La 0.2962 0.6271 0.8430  7 S 2.82-3.08
18 La 0.2962 0.2159 0.3729  7 S 2.82-3.08
19 La 0.7962 0.3729 0.1570  7 S 2.82-3.08
20 La 0.7962 0.7841 0.6271  7 S 2.82-3.08
21 Co 0.4664 0.0000 0.0000  6 S 2.38
22 Co 0.9664 0.0000 0.0000  6 S 2.38
23 Ga 0.3759 0.6667 0.3333  4 S 2.23-2.27
24 Ga 0.8759 0.3333 0.6667  4 S 2.23-2.27

Calculated values
The volume is 514.7 Å³ per cell. The crystal system is hexagonal. The value obtained for the spin magnetization is 1.0 μB per formula unit. For the uncorrected energy, the calculation gives -504.32 eV/cell. The density of states at the Fermi level is 2.62 states/eV per cell. As for the uncorrected formation energy: -175.3 kJ/mol of atoms. Its space-group type is P6_3 (173).



Record 3
Density functional theory data (meta-GGA SCAN) for a crystal of La2TaGaCo relaxed with PBEsol.

a b c (Å): 4.7622 5.5330 5.5330
angles (deg): 90.00 90.00 90.00
Last column: nearest neighbours and their distance in Å.
Atoms (fractional coordinates):
1 Ga 0.0000 0.0000 0.0000  2 Ta 2.38
2 Ta 0.5000 0.0000 0.0000  2 Ga 2.38
3 La 0.0000 0.0000 0.5000  2 Ga 2.77
4 La 0.0000 0.5000 0.0000  2 Ga 2.77
5 Co 0.5000 0.5000 0.5000  8 La 3.65, 4 Ta 3.91

Calculated values
The volume is 145.8 Å³ per cell. The crystal system is tetragonal. The value obtained for the spin magnetization is 1.2 μB per formula unit. For the uncorrected energy, the calculation gives -182.02 eV/cell. The density of states at the Fermi level is 5.40 states/eV per cell. The energy relative to the elements comes out at 886 meV/atom. Its space-group type is P4/mmm (123).



Record 4
Density functional theory data (meta-GGA SCAN) for a crystal of LaGa2CoTc relaxed with PBEsol.

a b c (Å): 4.5008 4.5008 4.9123
angles (deg): 90.00 90.00 90.00
Last column: nearest neighbours and their distance in Å.
Atoms (fractional coordinates):
1 La 0.0000 0.0000 0.5000  2 Co 2.46
2 Ga 0.5000 0.0000 0.0000  2 Co 2.25
3 Ga 0.0000 0.5000 0.0000  2 Co 2.25
4 Tc 0.5000 0.5000 0.5000  4 La 3.18, 8 Ga 3.33
5 Co 0.0000 0.0000 0.0000  4 Ga 2.25, 2 La 2.46

Calculated values
The volume is 99.5 Å³ per cell. The crystal system is tetragonal. The value obtained for the spin magnetization is 3.2 μB per formula unit. For the uncorrected energy, the calculation gives -126.43 eV/cell. The density of states at the Fermi level is 3.32 states/eV per cell. The energy relative to the elements comes out at 347 meV/atom. Its space-group type is P4/mmm (123).



Record 5
Density functional theory data (meta-GGA SCAN) for a crystal of LaGa2CoTe relaxed with PBEsol.

a b c (Å): 4.6428 4.6428 5.0374
angles (deg): 90.00 90.00 90.00
Last column: nearest neighbours and their distance in Å.
Atoms (fractional coordinates):
1 Co 0.0000 0.0000 0.0000  4 Ga 2.32, 2 La 2.52
2 Ga 0.0000 0.5000 0.0000  2 Co 2.32
3 Ga 0.5000 0.0000 0.0000  2 Co 2.32
4 Te 0.5000 0.5000 0.5000  4 La 3.28, 8 Ga 3.43
5 La 0.0000 0.0000 0.5000  2 Co 2.52

Calculated values
The volume is 108.6 Å³ per cell. The crystal system is tetragonal. The value obtained for the spin magnetization is 0.0 μB per formula unit. For the uncorrected energy, the calculation gives -133.72 eV/cell. The density of states at the Fermi level is 1.05 states/eV per cell. As for the uncorrected formation energy: -64.9 kJ/mol of atoms. Its space-group type is P4/mmm (123).



Record 6
Density functional theory data (meta-GGA SCAN) for a crystal of LiGa2Co2 relaxed with PBEsol.

a b c (Å): 2.6812 6.8310 6.8310
angles (deg): 90.00 90.00 90.00
Last column: nearest neighbours and their distance in Å.
Atoms (fractional coordinates):
1 Ga 0.0000 0.6496 0.1496  6 Co 2.38-2.43, 2 Li 2.60
2 Ga 0.0000 0.1496 0.3504  6 Co 2.38-2.43, 2 Li 2.60
3 Ga 0.0000 0.8504 0.6496  6 Co 2.38-2.43, 2 Li 2.60
4 Ga 0.0000 0.3504 0.8504  6 Co 2.38-2.43, 2 Li 2.60
5 Li 0.0000 0.0000 0.0000  4 Ga 2.60, 2 Li 2.68
6 Li 0.0000 0.5000 0.5000  4 Ga 2.60, 2 Li 2.68
7 Co 0.5000 0.6467 0.8533  6 Ga 2.38-2.43
8 Co 0.5000 0.8533 0.3533  6 Ga 2.38-2.43
9 Co 0.5000 0.3533 0.1467  6 Ga 2.38-2.43
10 Co 0.5000 0.1467 0.6467  6 Ga 2.38-2.43

Calculated values
The volume is 125.1 Å³ per cell. The crystal system is tetragonal. The value obtained for the spin magnetization is 0.0 μB per formula unit. For the uncorrected energy, the calculation gives -140.83 eV/cell. The density of states at the Fermi level is 5.81 states/eV per cell. The energy relative to the elements comes out at -145 meV/atom. Its space-group type is P4/mbm (127).